VASP calculation (PBE-GGA) on crystalline Na2Sc3I8 at its relaxed geometry.

Geometry as extended XYZ:
```
13
Lattice="-0.5164 -4.4502 5.8183 8.4664 -2.8238 0.1817 6.3895 3.7198 5.0024" Properties=species:S:1:pos:R:3 pbc="T T T"
Na 10.6806 -1.0243 5.9919
Na 3.6589 -2.5299 5.0104
Sc -0.2582 -2.2251 2.9092
Sc 8.0169 -1.4078 1.2249
Sc 6.8389 2.3038 3.9591
I 5.4572 -3.6000 7.2377
I 8.8823 0.0458 3.7646
I 12.6048 -3.0470 9.5665
I 1.7347 -0.5072 1.4358
I 8.2403 -0.5894 8.1019
I 9.3078 -3.9529 5.6241
I 5.0317 0.3986 5.3783
I 6.0992 -2.9648 2.9005
```

Properties
SG: C2/m (12)
size of the total moment: 2.97 μB per formula unit
E_form (uncorrected): -1.10 eV/atom